No. 1
# ScAuSe2 GGA-PBE relaxed
# Total DFT energy (no corrections) (eV per atom): -5.083
data_ScAuSe2
_chemical_formula_sum 'Sc16 Au16 Se32'
_cell_length_a 10.256
_cell_length_b 12.037
_cell_length_c 13.182
_cell_angle_alpha 90.00
_cell_angle_beta 104.85
_cell_angle_gamma 90.00
_space_group_name_H-M_alt 'C 1 2/c 1'
_space_group_IT_number 15
loop_
_space_group_symop_operation_xyz
'x,y,z'
'-x,-y,-z'
'-x,y,-z+1/2'
'x,-y,z+1/2'
'x+1/2,y+1/2,z'
'-x+1/2,-y+1/2,-z'
'-x+1/2,y+1/2,-z+1/2'
'x+1/2,-y+1/2,z+1/2'
loop_
_atom_site_label
_atom_site_fract_x
_atom_site_fract_y
_atom_site_fract_z
Sc1 0.077 0.228 0.407
Sc2 0.204 0.351 0.888
Au1 0.120 0.381 0.622
Au2 0.184 0.061 0.763
Se1 0.000 0.069 0.250
Se2 0.000 0.460 0.750
Se3 0.077 0.187 0.955
Se4 0.175 0.273 0.230
Se5 0.230 0.408 0.475

=====

No. 2
# Pu3TcPd2 GGA-PBE relaxed
# Total DFT energy (no corrections) (eV per atom): -10.858
# Formation enthalpy at 0 K (meV per atom): -234
data_Pu3TcPd2
_chemical_formula_sum 'Pu3 Tc1 Pd2'
_cell_length_a 3.296
_cell_length_b 3.296
_cell_length_c 11.427
_cell_angle_alpha 90.00
_cell_angle_beta 90.00
_cell_angle_gamma 90.00
_space_group_name_H-M_alt 'P 4/m m m'
_space_group_IT_number 123
_space_group_name_Hall '-P 4 2'
loop_
_atom_site_label
_atom_site_fract_x
_atom_site_fract_y
_atom_site_fract_z
Pu1 0.000 0.000 0.000
Pu2 0.000 0.000 0.346
Tc1 0.500 0.500 0.500
Pd1 0.500 0.500 0.171

=====

No. 3
# Li3HgPd5 GGA-PBE relaxed
# Total DFT energy (no corrections) (eV per atom): -3.853
# Formation enthalpy at 0 K (meV per atom): -296
data_Li3HgPd5
_chemical_formula_sum 'Li6 Hg2 Pd10'
_cell_length_a 7.5563
_cell_length_b 7.5563
_cell_length_c 5.4477
_cell_angle_alpha 90.00
_cell_angle_beta 90.00
_cell_angle_gamma 120.00
_space_group_name_H-M_alt 'P 63/m c m'
_space_group_IT_number 193
_space_group_name_Hall '-P 6c 2'
loop_
_atom_site_label
_atom_site_fract_x
_atom_site_fract_y
_atom_site_fract_z
Li1 0.0000 0.3463 0.2500
Hg1 0.0000 0.0000 0.0000
Pd1 0.0000 0.3322 0.7500
Pd2 0.3333 0.6667 0.0000

=====

No. 4
# La3DyHo6Tm2 GGA-PBE relaxed
# Total DFT energy (no corrections) (eV per atom): -4.623
# Formation enthalpy at 0 K (meV per atom): 26
data_La3DyHo6Tm2
_chemical_formula_sum 'La6 Dy2 Ho12 Tm4'
_cell_length_a 6.198
_cell_length_b 10.736
_cell_length_c 11.825
_cell_angle_alpha 90.00
_cell_angle_beta 100.07
_cell_angle_gamma 90.00
_space_group_name_H-M_alt 'C 1 2/m 1'
_space_group_IT_number 12
loop_
_space_group_symop_operation_xyz
'x,y,z'
'-x,-y,-z'
'-x,y,-z'
'x,-y,z'
'x+1/2,y+1/2,z'
'-x+1/2,-y+1/2,-z'
'-x+1/2,y+1/2,-z'
'x+1/2,-y+1/2,z'
loop_
_atom_site_label
_atom_site_fract_x
_atom_site_fract_y
_atom_site_fract_z
La1 0.000 0.000 0.000
La2 0.000 0.333 0.000
Dy1 0.000 0.500 0.500
Ho1 0.247 0.000 0.743
Ho2 0.248 0.333 0.743
Tm1 0.000 0.167 0.500